1.
The following is a PBE calculation of an optimized crystal structure of La2TlFe, from the Alexandria database.

Cell and atoms, written as POSCAR:
```
La2TlFe
1.0
8.234 0.000 0.000
0.000 8.234 0.000
4.117 4.117 3.166
Fe La Tl
2 4 2
direct
0.250 0.750 0.500 Fe
0.500 0.500 0.000 Fe
0.199 0.625 0.250 La
0.875 0.801 0.750 La
0.375 0.449 0.750 La
0.551 0.125 0.250 La
0.750 0.250 0.500 Tl
0.000 0.000 0.000 Tl
```

SG = I-42d
energy of formation = 0.15 eV per atom

=====

2.
The following is a PBE calculation of an optimized crystal structure of LaTl3Fe, from the Alexandria database.

Cell and atoms, written as POSCAR:
```
LaTl3Fe
1.0
5.076 0.000 0.000
0.000 5.076 0.000
0.000 0.000 5.076
Fe La Tl
1 1 3
direct
0.000 0.000 0.000 Fe
0.500 0.500 0.500 La
0.500 0.000 0.000 Tl
0.000 0.500 0.000 Tl
0.000 0.000 0.500 Tl
```

SG = Pm-3m
energy of formation = 0.12 eV per atom
offset from the most stable computed form = 0 meV/atom

=====

3.
The following is a PBE calculation of an optimized crystal structure of La4TlFe, from the Alexandria database.

Cell and atoms, written as POSCAR:
```
La4TlFe
1.0
-1.018 -5.152 -3.747
-5.201 -3.698 0.945
-4.809 0.038 -4.300
Fe La Tl
1 4 1
direct
0.000 0.000 0.000 Fe
0.375 0.876 0.375 La
0.375 0.375 0.876 La
0.876 0.375 0.375 La
0.375 0.375 0.375 La
0.750 0.750 0.750 Tl
```

SG = F-43m
energy of formation = 0.55 eV per atom
offset from the most stable computed form = 703 meV/atom

=====

4.
The following is a PBE calculation of an optimized crystal structure of La2TlFe, from the Alexandria database.

Cell and atoms, written as POSCAR:
```
La2TlFe
1.0
3.827 0.000 0.000
0.000 5.028 0.011
0.000 2.503 5.661
La Fe Tl
2 1 1
direct
0.500 0.312 0.250 La
0.000 0.991 0.892 La
0.500 0.506 0.863 Fe
0.000 0.690 0.495 Tl
```

SG = Amm2
energy of formation = -0.04 eV per atom

=====

5.
The following is a PBE calculation of an optimized crystal structure of LaTlFe3, from the Alexandria database.

Cell and atoms, written as POSCAR:
```
LaTlFe3
1.0
-4.225 -2.440 0.843
2.271 -2.745 3.438
-1.227 3.321 3.462
Fe Tl La
3 1 1
direct
0.000 0.500 0.000 Fe
0.000 0.000 0.500 Fe
0.500 0.000 0.000 Fe
0.000 0.000 0.000 Tl
0.500 0.500 0.500 La
```

SG = Pm-3m
energy of formation = 1.08 eV per atom
offset from the most stable computed form = 0 meV/atom

=====

6.
The following is a PBE calculation of an optimized crystal structure of La8Tl2Fe, from the Alexandria database.

Cell and atoms, written as POSCAR:
```
La8Tl2Fe
1.0
1.205 5.219 -2.004
0.678 -2.622 -6.419
-9.365 0.102 2.797
La Tl Fe
8 2 1
direct
0.413 0.621 0.825 La
0.641 0.915 0.283 La
0.002 0.787 0.004 La
0.359 0.085 0.717 La
0.587 0.379 0.175 La
0.787 0.755 0.575 La
0.998 0.213 0.996 La
0.213 0.245 0.425 La
0.826 0.316 0.652 Tl
0.174 0.684 0.348 Tl
0.500 0.000 0.000 Fe
```

SG = C2/m
energy of formation = -0.15 eV per atom

=====

E, record by record: -40.20, -19.89, -27.23, -20.85, -27.30, -54.21 eV/cell